[1]
This record from Alexandria describes a geometry-optimized Nd8Sb2Rh3 structure. The functional is PBE.

Cell lengths 9.0933, 9.0933, 7.0086 Å; angles 103.99, 103.99, 53.12 degrees
Last column: nearest neighbours and their distance in Å.
Fractional positions:
1 Nd 0.0930 0.0930 0.3812  2 Rh 2.79
2 Nd 0.1510 0.6364 0.1017  2 Rh 2.84-2.86
3 Nd 0.3636 0.8490 0.8983  2 Rh 2.84-2.86
4 Nd 0.3972 0.3972 0.5953  3 Rh 2.83-2.88
5 Nd 0.6028 0.6028 0.4047  3 Rh 2.83-2.88
6 Nd 0.6364 0.1510 0.1017  2 Rh 2.84-2.86
7 Nd 0.8490 0.3636 0.8983  2 Rh 2.84-2.86
8 Nd 0.9070 0.9070 0.6188  2 Rh 2.79
9 Sb 0.2442 0.2442 0.1656  6 Nd 3.22-3.35
10 Sb 0.7558 0.7558 0.8344  6 Nd 3.22-3.35
11 Rh 0.2493 0.7507 0.5000  6 Nd 2.79-2.86
12 Rh 0.5000 0.5000 0.0000  6 Nd 2.84-2.88
13 Rh 0.7507 0.2493 0.5000  6 Nd 2.79-2.86

Results
DOS(E_F) in states/eV/cell: 8.2
Uncorrected energy in eV/atom: -5.857
Formation energy from raw total energies in eV per atom: -0.59
Magnetic moment in μB/f.u.: 0.00

[2]
This record from Alexandria describes a geometry-optimized Be2H5Pd12 structure. The functional is PBE.

Cell lengths 6.1780, 6.1780, 7.3847 Å; angles 103.72, 103.72, 53.92 degrees
Last column: nearest neighbours and their distance in Å.
Fractional positions:
1 Be 0.2308 0.7692 0.0000  6 Pd 2.20-2.28
2 Be 0.7692 0.2308 0.0000  6 Pd 2.20-2.28
3 H 0.0000 0.0000 0.5000  6 Pd 1.98-2.10
4 H 0.2675 0.2675 0.5154  2 Pd 1.84
5 H 0.2757 0.2757 0.0458  5 Pd 1.89-2.11
6 H 0.7243 0.7243 0.9542  5 Pd 1.89-2.11
7 H 0.7325 0.7325 0.4846  2 Pd 1.84
8 Pd 0.0509 0.5492 0.8447  2 H 1.92-2.11
9 Pd 0.0628 0.0628 0.7950  1 H 2.10, 2 Be 2.24
10 Pd 0.1289 0.6240 0.5132  2 H 1.84-1.98
11 Pd 0.3760 0.8711 0.4868  2 H 1.84-1.98
12 Pd 0.4444 0.4444 0.1954  1 H 1.89
13 Pd 0.4508 0.9491 0.1553  2 H 1.92-2.11
14 Pd 0.5492 0.0509 0.8447  2 H 1.92-2.11
15 Pd 0.5556 0.5556 0.8046  1 H 1.89
16 Pd 0.6240 0.1289 0.5132  2 H 1.84-1.98
17 Pd 0.8711 0.3760 0.4868  2 H 1.84-1.98
18 Pd 0.9372 0.9372 0.2050  1 H 2.10, 2 Be 2.24
19 Pd 0.9491 0.4508 0.1553  2 H 1.92-2.11

Results
DOS(E_F) in states/eV/cell: 8.0
Uncorrected energy in eV/atom: -4.669
Magnetic moment in μB/f.u.: 0.00

[3]
This record from Alexandria describes a geometry-optimized Nd6ErTl5 structure. The functional is PBE.

Cell lengths 7.8438, 7.8438, 6.4197 Å; angles 98.51, 98.51, 95.83 degrees
Last column: nearest neighbours and their distance in Å.
Fractional positions:
1 Nd 0.0431 0.4049 0.7303  5 Tl 3.24-3.58, 1 Nd 3.51
2 Nd 0.2172 0.2172 0.2115  5 Tl 3.24-3.50, 1 Er 3.53
3 Nd 0.4049 0.0431 0.7303  5 Tl 3.24-3.58, 1 Nd 3.51
4 Nd 0.5951 0.9569 0.2697  5 Tl 3.24-3.58, 1 Nd 3.51
5 Nd 0.7828 0.7828 0.7885  5 Tl 3.24-3.50, 1 Er 3.53
6 Nd 0.9569 0.5951 0.2697  5 Tl 3.24-3.58, 1 Nd 3.51
7 Er 0.5000 0.5000 0.0000  6 Tl 3.36-3.57, 6 Nd 3.53-3.69
8 Tl 0.0000 0.0000 0.5000  6 Nd 3.24-3.26
9 Tl 0.2115 0.7885 0.0000  6 Nd 3.24-3.43, 1 Er 3.36
10 Tl 0.3665 0.6335 0.5000  1 Tl 3.11, 2 Nd 3.30
11 Tl 0.6335 0.3665 0.5000  1 Tl 3.11, 2 Nd 3.30
12 Tl 0.7885 0.2115 0.0000  6 Nd 3.24-3.43, 1 Er 3.36

Results
DOS(E_F) in states/eV/cell: 12.0
Formation energy in eV per atom: -0.19
Uncorrected energy in eV/atom: -3.937
ΔE to the lowest computed polymorph in eV/f.u.: 1.35
Magnetic moment in μB/f.u.: 0.00

[4]
This record from Alexandria describes a geometry-optimized Nd2GaBr structure. The functional is PBE.

Cell lengths 4.7845, 6.0436, 3.8232 Å; angles 90.00, 90.00, 90.00 degrees
Last column: nearest neighbours and their distance in Å.
Fractional positions:
1 Nd 0.0000 0.0000 0.0000  2 Ga 3.02, 4 Br 3.06
2 Nd 0.5000 0.5000 0.4990  2 Br 3.02, 4 Ga 3.06
3 Ga 0.0000 0.5000 0.9986  6 Nd 3.02-3.06
4 Br 0.5000 0.0000 0.5000  6 Nd 3.02-3.06

Results
DOS(E_F) in states/eV/cell: 2.0
Uncorrected energy in eV/atom: -4.470
Formation energy from raw total energies in eV per atom: -0.91
ΔE to the lowest computed polymorph in eV/f.u.: 0.00
Magnetic moment in μB/f.u.: 0.00